# PBE with a Hubbard U Fe3ReF, optimized geometry
data_Fe3ReF
_cell_length_a 4.1867
_cell_length_b 4.1867
_cell_length_c 4.1867
_cell_angle_alpha 90.00
_cell_angle_beta 90.00
_cell_angle_gamma 90.00
_symmetry_space_group_name_H-M 'P m -3 m'
_symmetry_Int_Tables_number 221
_symmetry_space_group_name_Hall '-P 4 2 3'
loop_
_atom_site_label
_atom_site_fract_x
_atom_site_fract_y
_atom_site_fract_z
Fe1 0.0000 0.0000 0.5000
Re1 0.5000 0.5000 0.5000
F1 0.0000 0.0000 0.0000
# Calculated density (g/cm³): 8.4
# Energy above the lowest structure with this stoichiometry (meV per atom): 0